# 1
KCa4Cu: relaxed, PBE.

Results
* formation energy: 508 meV per atom

Geometry as CIF:
```
data_KCa4Cu
_chemical_formula_sum 'K4 Ca16 Cu4'
_space_group_name_H-M_alt 'F -4 3 m'
_space_group_IT_number 216
_space_group_name_Hall 'F -4 2 3'
_cell_length_a 10.193
_cell_length_b 10.193
_cell_length_c 10.193
_cell_angle_alpha 90.00
_cell_angle_beta 90.00
_cell_angle_gamma 90.00
loop_
_atom_site_label
_atom_site_type_symbol
_atom_site_fract_x
_atom_site_fract_y
_atom_site_fract_z
K1 K 0.000 0.000 0.000
Ca1 Ca 0.124 0.124 0.624
Cu1 Cu 0.250 0.250 0.250
```



# 2
HgPb3Br6: relaxed, PBE.

Results
* uncorrected formation energy: -0.80 eV per atom

Geometry as CIF:
```
data_HgPb3Br6
_chemical_formula_sum 'Hg2 Pb6 Br12'
_space_group_name_H-M_alt 'P 1 21/m 1'
_space_group_IT_number 11
_cell_length_a 12.441
_cell_length_b 4.477
_cell_length_c 15.560
_cell_angle_alpha 90.00
_cell_angle_beta 108.88
_cell_angle_gamma 90.00
loop_
_space_group_symop_operation_xyz
'x,y,z'
'-x,-y,-z'
'-x,y+1/2,-z'
'x,-y+1/2,z'
loop_
_atom_site_label
_atom_site_type_symbol
_atom_site_fract_x
_atom_site_fract_y
_atom_site_fract_z
Hg1 Hg 0.065 0.250 0.445
Pb1 Pb 0.109 0.750 0.935
Pb2 Pb 0.318 0.250 0.795
Pb3 Pb 0.484 0.250 0.365
Br1 Br 0.068 0.250 0.793
Br2 Br 0.142 0.250 0.078
Br3 Br 0.276 0.750 0.652
Br4 Br 0.358 0.750 0.937
Br5 Br 0.363 0.750 0.437
Br6 Br 0.444 0.750 0.219
```



# 3
BaNa2AlRu: relaxed, PBE.

Results
* formation energy: 1300 meV per atom

Geometry as CIF:
```
data_BaNa2AlRu
_chemical_formula_sum 'Ba1 Na2 Al1 Ru1'
_space_group_name_H-M_alt 'P 4/m m m'
_space_group_IT_number 123
_space_group_name_Hall '-P 4 2'
_cell_length_a 6.097
_cell_length_b 6.097
_cell_length_c 5.022
_cell_angle_alpha 90.00
_cell_angle_beta 90.00
_cell_angle_gamma 90.00
loop_
_atom_site_label
_atom_site_type_symbol
_atom_site_fract_x
_atom_site_fract_y
_atom_site_fract_z
Ba1 Ba 0.000 0.000 0.000
Na1 Na 0.000 0.500 0.000
Al1 Al 0.500 0.500 0.500
Ru1 Ru 0.000 0.000 0.500
```



One value per record, in order, for electronic total energy: -40.6 -58.9 -11.1 eV per cell.